Record 1
# Li5Hg2Pd2Pt, optimized geometry, DFT PBE-GGA
# D(E_F): 0.2733 states/eV/atom
# energy of formation from the pure elements: -3.44 eV/f.u.
data_Li5Hg2Pd2Pt
_chemical_formula_sum 'Li10 Hg4 Pd4 Pt2'
_symmetry_space_group_name_H-M 'P 4/m b m'
_symmetry_Int_Tables_number 127
_symmetry_space_group_name_Hall '-P 4 2ab'
_cell_length_a 10.371
_cell_length_b 10.371
_cell_length_c 3.015
_cell_angle_alpha 90.00
_cell_angle_beta 90.00
_cell_angle_gamma 90.00
loop_
_atom_site_label
_atom_site_type_symbol
_atom_site_fract_x
_atom_site_fract_y
_atom_site_fract_z
_atom_site_occupancy
Li1 Li 0.000 0.500 0.000 1
Li2 Li 0.042 0.192 0.000 1
Hg1 Hg 0.167 0.667 0.500 1
Pd1 Pd 0.140 0.360 0.500 1
Pt1 Pt 0.000 0.000 0.500 1

=====

Record 2
# ScTiTeIr2, optimized geometry, DFT PBE-GGA
# uncorrected formation energy: 1081 meV/atom
# D(E_F): 0.8710 states/eV/atom
data_ScTiTeIr2
_chemical_formula_sum 'Sc1 Ti1 Te1 Ir2'
_symmetry_space_group_name_H-M 'P 4/m m m'
_symmetry_Int_Tables_number 123
_symmetry_space_group_name_Hall '-P 4 2'
_cell_length_a 4.731
_cell_length_b 4.731
_cell_length_c 4.797
_cell_angle_alpha 90.00
_cell_angle_beta 90.00
_cell_angle_gamma 90.00
loop_
_atom_site_label
_atom_site_type_symbol
_atom_site_fract_x
_atom_site_fract_y
_atom_site_fract_z
_atom_site_occupancy
Sc1 Sc 0.000 0.000 0.000 1
Ti1 Ti 0.000 0.000 0.500 1
Te1 Te 0.500 0.500 0.500 1
Ir1 Ir 0.000 0.500 0.000 1

=====

Record 3
# MgTc2SbSe, optimized geometry, DFT PBE-GGA
# uncorrected formation energy: 1433 meV/atom
# D(E_F): 0.7669 states/eV/atom
data_MgTc2SbSe
_chemical_formula_sum 'Mg1 Tc2 Sb1 Se1'
_symmetry_space_group_name_H-M 'P 4/m m m'
_symmetry_Int_Tables_number 123
_symmetry_space_group_name_Hall '-P 4 2'
_cell_length_a 4.926
_cell_length_b 4.926
_cell_length_c 4.588
_cell_angle_alpha 90.00
_cell_angle_beta 90.00
_cell_angle_gamma 90.00
loop_
_atom_site_label
_atom_site_type_symbol
_atom_site_fract_x
_atom_site_fract_y
_atom_site_fract_z
_atom_site_occupancy
Mg1 Mg 0.000 0.000 0.000 1
Tc1 Tc 0.000 0.500 0.000 1
Sb1 Sb 0.500 0.500 0.500 1
Se1 Se 0.000 0.000 0.500 1

=====

Record 4
# Be2Pd2Au, optimized geometry, DFT PBE-GGA
# D(E_F): 0.3234 states/eV/atom
# excess energy over the best structure of this formula in the dataset: 0.00 eV/f.u.
# energy of formation from the pure elements: -2.06 eV/f.u.
data_Be2Pd2Au
_chemical_formula_sum 'Be4 Pd4 Au2'
_symmetry_space_group_name_H-M 'P 4/m b m'
_symmetry_Int_Tables_number 127
_symmetry_space_group_name_Hall '-P 4 2ab'
_cell_length_a 6.745
_cell_length_b 6.745
_cell_length_c 2.818
_cell_angle_alpha 90.00
_cell_angle_beta 90.00
_cell_angle_gamma 90.00
loop_
_atom_site_label
_atom_site_type_symbol
_atom_site_fract_x
_atom_site_fract_y
_atom_site_fract_z
_atom_site_occupancy
Be1 Be 0.137 0.363 0.000 1
Pd1 Pd 0.153 0.653 0.500 1
Au1 Au 0.000 0.000 0.000 1

=====

Record 5
# Nd5TmSi4, optimized geometry, DFT PBE-GGA
# uncorrected formation energy: -483 meV/atom
# D(E_F): 0.5015 states/eV/atom
data_Nd5TmSi4
_chemical_formula_sum 'Nd10 Tm2 Si8'
_symmetry_space_group_name_H-M 'C 1 2/m 1'
_symmetry_Int_Tables_number 12
_cell_length_a 15.657
_cell_length_b 5.032
_cell_length_c 6.933
_cell_angle_alpha 90.00
_cell_angle_beta 91.12
_cell_angle_gamma 90.00
loop_
_symmetry_equiv_pos_as_xyz
'x,y,z'
'-x,-y,-z'
'-x,y,-z'
'x,-y,z'
'x+1/2,y+1/2,z'
'-x+1/2,-y+1/2,-z'
'-x+1/2,y+1/2,-z'
'x+1/2,-y+1/2,z'
loop_
_atom_site_label
_atom_site_type_symbol
_atom_site_fract_x
_atom_site_fract_y
_atom_site_fract_z
_atom_site_occupancy
Nd1 Nd 0.000 0.000 0.000 1
Nd2 Nd 0.164 0.500 0.000 1
Nd3 Nd 0.166 0.500 0.508 1
Tm1 Tm 0.000 0.000 0.500 1
Si1 Si 0.008 0.500 0.265 1
Si2 Si 0.174 0.000 0.749 1

=====

Record 6
# RbTlFe2Cl6, optimized geometry, DFT PBE-GGA
# uncorrected formation energy: -1023 meV/atom
# D(E_F): 1.0268 states/eV/atom
data_RbTlFe2Cl6
_chemical_formula_sum 'Rb4 Tl4 Fe8 Cl24'
_symmetry_space_group_name_H-M 'C 1 2/c 1'
_symmetry_Int_Tables_number 15
_cell_length_a 13.917
_cell_length_b 13.467
_cell_length_c 7.210
_cell_angle_alpha 90.00
_cell_angle_beta 101.50
_cell_angle_gamma 90.00
loop_
_symmetry_equiv_pos_as_xyz
'x,y,z'
'-x,-y,-z'
'-x,y,-z+1/2'
'x,-y,z+1/2'
'x+1/2,y+1/2,z'
'-x+1/2,-y+1/2,-z'
'-x+1/2,y+1/2,-z+1/2'
'x+1/2,-y+1/2,z+1/2'
loop_
_atom_site_label
_atom_site_type_symbol
_atom_site_fract_x
_atom_site_fract_y
_atom_site_fract_z
_atom_site_occupancy
Rb1 Rb 0.000 0.181 0.250 1
Tl1 Tl 0.000 0.401 0.750 1
Fe1 Fe 0.211 0.085 0.763 1
Cl1 Cl 0.123 0.404 0.178 1
Cl2 Cl 0.140 0.232 0.663 1
Cl3 Cl 0.149 0.031 0.026 1